1.
{
  "formula": "NbCdGa2C",
  "functional": "PBE-GGA",
  "state": "relaxed",
  "lattice_angstrom": [[5.2483, 0.0000, 0.0000], [0.0000, 4.1191, 0.0000], [0.0000, 0.0000, 5.2483]],
  "species": ["Nb", "C", "Ga", "Ga", "Cd"],
  "fractional_positions": [[0.0000, 0.0000, 0.0000], [0.0000, 0.5000, 0.0000], [0.0000, 0.0000, 0.5000], [0.5000, 0.0000, 0.0000], [0.5000, 0.5000, 0.5000]],
  "polymorph_energy_mev_per_atom": 397,
  "delta_e_f_ev_per_atom": 0.862
}


2.
{
  "formula": "NaAl2Te4",
  "functional": "PBE-GGA",
  "state": "relaxed",
  "lattice_angstrom": [[-1.3986, -2.3182, 6.1407], [-3.6523, -2.2636, -5.1551], [7.5366, -8.6407, -1.5455]],
  "species": ["Na", "Na", "Al", "Al", "Al", "Al", "Te", "Te", "Te", "Te", "Te", "Te", "Te", "Te"],
  "fractional_positions": [[0.5000, 0.5000, 0.2500], [0.5000, 0.5000, 0.7500], [0.2449, 0.7535, 0.0000], [0.7551, 0.2465, 0.0000], [0.2465, 0.7551, 0.5000], [0.7535, 0.2449, 0.5000], [0.6681, 0.8182, 0.0000], [0.3319, 0.1818, 0.0000], [0.1818, 0.3319, 0.5000], [0.8182, 0.6681, 0.5000], [0.5000, 0.0000, 0.3251], [0.0000, 0.5000, 0.1749], [0.5000, 0.0000, 0.6749], [0.0000, 0.5000, 0.8251]],
  "formation_energy_uncorrected_ev_per_atom": -0.47
}


3.
{
  "formula": "AcHfSn2",
  "functional": "PBE-GGA",
  "state": "relaxed",
  "lattice_angstrom": [[5.5842, 0.0000, 0.0000], [2.7921, 4.8361, 0.0000], [2.7921, 1.6120, 4.1958]],
  "species": ["Ac", "Hf", "Sn", "Sn"],
  "fractional_positions": [[0.5000, 0.5000, 0.5000], [0.0000, 0.0000, 0.0000], [0.2415, 0.2415, 0.2755], [0.7585, 0.7585, 0.7245]],
  "delta_e_f_ev_per_atom": -0.177
}


| no. | total moment (Bohr magnetons per cell) | V (A^3/atom) |
| --- | --- | --- |
| 1 | 0.00 | 22.69 |
| 2 | 0.00 | 32.79 |
| 3 | 0.00 | 28.33 |